Density functional theory data (PBEsol) for a relaxed NaSb2F crystal.

Cell and atoms, written as POSCAR:
```
NaSb2F
1.0
4.0174 0.0000 0.0000
0.0000 4.0174 0.0000
-2.0087 -2.0087 12.5850
Na Sb F
2 4 2
direct
0.2500 0.7500 0.5000 Na
0.0000 0.0000 0.0000 Na
0.3732 0.8750 0.2500 Sb
0.1250 0.1232 0.7500 Sb
0.8768 0.3750 0.2500 Sb
0.6250 0.6268 0.7500 Sb
0.7500 0.2500 0.5000 F
0.5000 0.5000 0.0000 F
```

- Space-group type: I-42d (122)
- VASP energy: -3.84 eV per atom
- ΔE_f (raw): -0.7285 eV/atom